[1]
DFT (GGA-PBE) results for an optimized crystal structure of TiBiSbI2.

POSCAR file:
```
TiBiSbI2
1.0
5.341 0.000 0.000
0.000 5.341 0.000
0.000 0.000 5.833
Ti Bi Sb I
1 1 1 2
Direct
0.000 0.000 0.000
0.500 0.500 0.500
0.000 0.000 0.500
0.000 0.500 0.000
0.500 0.000 0.000
```

Calculated values
ΔE_f (raw): 11.9 kJ per mole of atoms
E_tot: -3.68 eV/atom
total magnetization: 1.91 μB/cell
polymorph energy (0 for the lowest one): 0.000 eV/atom
theoretical density: 6.3 Mg/m³
SG: P4/mmm, No. 123



[2]
DFT (GGA-PBE) results for an optimized crystal structure of TlBiSbI2.

POSCAR file:
```
TlBiSbI2
1.0
6.311 0.000 0.000
0.000 6.311 0.000
0.000 0.000 5.899
Tl Bi Sb I
1 1 1 2
Direct
0.000 0.000 0.000
0.500 0.500 0.500
0.500 0.500 0.000
0.000 0.500 0.500
0.500 0.000 0.500
```

Calculated values
ΔE_f (raw): 6.8 kJ per mole of atoms
E_tot: -2.62 eV/atom
total magnetization: 0.74 μB/cell
polymorph energy (0 for the lowest one): 0.000 eV/atom
theoretical density: 5.6 Mg/m³
SG: P4/mmm, No. 123



[3]
DFT (GGA-PBE) results for an optimized crystal structure of TlBiSbI2.

POSCAR file:
```
TlBiSbI2
1.0
5.897 0.000 0.000
0.000 5.897 0.000
0.000 0.000 5.932
Tl Bi Sb I
1 1 1 2
Direct
0.000 0.000 0.000
0.500 0.500 0.500
0.000 0.000 0.500
0.000 0.500 0.000
0.500 0.000 0.000
```

Calculated values
ΔE_f (raw): 49.0 kJ per mole of atoms
E_tot: -2.19 eV/atom
total magnetization: 0.00 μB/cell
polymorph energy (0 for the lowest one): 0.438 eV/atom
theoretical density: 6.4 Mg/m³
SG: P4/mmm, No. 123



[4]
DFT (GGA-PBE) results for an optimized crystal structure of BiSbWI2.

POSCAR file:
```
BiSbWI2
1.0
5.327 0.000 0.000
0.000 5.327 0.000
0.000 0.000 5.516
Bi Sb W I
1 1 1 2
Direct
0.000 0.000 0.000
0.500 0.500 0.000
0.500 0.500 0.500
0.000 0.500 0.500
0.500 0.000 0.500
```

Calculated values
ΔE_f (raw): 79.6 kJ per mole of atoms
E_tot: -3.99 eV/atom
total magnetization: 0.05 μB/cell
polymorph energy (0 for the lowest one): 0.000 eV/atom
theoretical density: 8.2 Mg/m³
SG: P4/mmm, No. 123



[5]
DFT (GGA-PBE) results for an optimized crystal structure of BiSb2WI.

POSCAR file:
```
BiSb2WI
1.0
5.225 0.000 0.000
0.000 5.225 0.000
0.000 0.000 5.739
Bi Sb W I
1 2 1 1
Direct
0.000 0.000 0.000
0.000 0.500 0.500
0.500 0.000 0.500
0.500 0.500 0.500
0.500 0.500 0.000
```

Calculated values
ΔE_f (raw): 73.7 kJ per mole of atoms
E_tot: -4.56 eV/atom
total magnetization: 1.04 μB/cell
polymorph energy (0 for the lowest one): 0.000 eV/atom
theoretical density: 8.1 Mg/m³
SG: P4/mmm, No. 123



[6]
DFT (GGA-PBE) results for an optimized crystal structure of ZnBiSb2I.

POSCAR file:
```
ZnBiSb2I
1.0
5.959 0.000 0.000
0.000 5.959 0.000
0.000 0.000 6.293
Zn Bi Sb I
1 1 2 1
Direct
0.000 0.000 0.000
0.500 0.500 0.500
0.000 0.500 0.500
0.500 0.000 0.500
0.500 0.500 0.000
```

Calculated values
ΔE_f (raw): 71.8 kJ per mole of atoms
E_tot: -2.25 eV/atom
total magnetization: 1.89 μB/cell
polymorph energy (0 for the lowest one): 0.312 eV/atom
theoretical density: 4.8 Mg/m³
SG: P4/mmm, No. 123



[7]
DFT (GGA-PBE) results for an optimized crystal structure of ZnBiSb2I.

POSCAR file:
```
ZnBiSb2I
1.0
5.338 0.000 0.000
0.000 5.338 0.000
0.000 0.000 5.373
Zn Bi Sb I
1 1 2 1
Direct
0.000 0.000 0.000
0.500 0.500 0.500
0.000 0.500 0.000
0.500 0.000 0.000
0.000 0.000 0.500
```

Calculated values
ΔE_f (raw): 41.7 kJ per mole of atoms
E_tot: -2.56 eV/atom
total magnetization: 0.00 μB/cell
polymorph energy (0 for the lowest one): 0.000 eV/atom
theoretical density: 7.0 Mg/m³
SG: P4/mmm, No. 123



[8]
DFT (GGA-PBE) results for an optimized crystal structure of ZnBiSbI2.

POSCAR file:
```
ZnBiSbI2
1.0
5.406 0.000 0.000
0.000 5.406 0.000
0.000 0.000 5.546
Zn Bi Sb I
1 1 1 2
Direct
0.000 0.000 0.000
0.500 0.500 0.500
0.000 0.000 0.500
0.000 0.500 0.000
0.500 0.000 0.000
```

Calculated values
ΔE_f (raw): 29.0 kJ per mole of atoms
E_tot: -2.18 eV/atom
total magnetization: 0.00 μB/cell
polymorph energy (0 for the lowest one): 0.000 eV/atom
theoretical density: 6.7 Mg/m³
SG: P4/mmm, No. 123